AlCr3O8: relaxed, GGA+U.

```
data_AlCr3O8
_space_group_name_H-M_alt 'R -3 m'
_space_group_IT_number 166
_space_group_name_Hall '-R 3 2"'
_cell_length_a 5.8800
_cell_length_b 5.8800
_cell_length_c 14.1282
_cell_angle_alpha 90.00
_cell_angle_beta 90.00
_cell_angle_gamma 120.00
loop_
_atom_site_label
_atom_site_fract_x
_atom_site_fract_y
_atom_site_fract_z
Al1 0.0000 0.0000 0.0000
Cr1 0.0000 0.5000 0.5000
O1 0.0000 0.0000 0.2362
O2 0.0487 0.5243 0.7560
```

Properties
VASP energy, eV per atom: -7.0738
Calculated density, Mg/m³: 3.7